Compound: MgCoAu3
Source: Alexandria
Functional: PBE
Structure: relaxed

a = 4.7861 Å, b = 4.7861 Å, c = 4.7861 Å
α = 90.00°, β = 90.00°, γ = 90.00°
Closest atoms and distances in Å follow each position.
Space group Pm-3m (No. 221)
Inequivalent atoms, fractional coordinates:
1 Mg 0.0000 0.0000 0.0000 [1 per cell]  12 Au 3.38
2 Co 0.5000 0.5000 0.5000 [1 per cell]  6 Au 2.39
3 Au 0.0000 0.5000 0.5000 [3 per cell]  2 Co 2.39

## Properties
DFT formation energy = 43 kJ per mole of atoms
DOS(E_F) = 1.40 states/eV per atom
Calculated total energy = -0.240 Ry per atom
Relative energy among the computed polymorphs = 0 meV/atom

Compound: Y2CrSb
Source: Alexandria
Functional: PBE
Structure: relaxed

a = 4.1471 Å, b = 4.1471 Å, c = 6.2785 Å
α = 90.00°, β = 90.00°, γ = 90.00°
Closest atoms and distances in Å follow each position.
Space group P4mm (No. 99)
Inequivalent atoms, fractional coordinates:
1 Y 0.0000 0.0000 0.0000 [1 per cell]  2 Cr 3.10-3.18, 4 Sb 3.16
2 Y 0.5000 0.5000 0.3217 [1 per cell]  2 Sb 3.07-3.21, 4 Cr 3.15
3 Cr 0.0000 0.0000 0.5063 [1 per cell]  6 Y 3.10-3.18
4 Sb 0.5000 0.5000 0.8104 [1 per cell]  6 Y 3.07-3.21

## Properties
Formation energy without anion corrections = -110 meV/atom
DOS(E_F) = 0.83 states/eV per atom
Calculated total energy = -0.498 Ry per atom

Compound: KY4Zn
Source: Alexandria
Functional: PBE
Structure: relaxed

a = 9.4158 Å, b = 9.4158 Å, c = 9.4158 Å
α = 90.00°, β = 90.00°, γ = 90.00°
Closest atoms and distances in Å follow each position.
Space group F-43m (No. 216)
Inequivalent atoms, fractional coordinates:
1 K 0.0000 0.0000 0.0000 [4 per cell]  12 Y 3.91, 4 Zn 4.08
2 Y 0.1231 0.1231 0.6231 [16 per cell]  6 Y 3.28-3.38
3 Zn 0.2500 0.2500 0.2500 [4 per cell]  12 Y 3.90, 4 K 4.08

## Properties
DFT formation energy = 56 kJ per mole of atoms
DOS(E_F) = 1.46 states/eV per atom
Calculated total energy = -0.303 Ry per atom